[1]
Entry from the Alexandria database: ZrTiTe2 after structural relaxation (PBE-GGA).

Values from the calculation:
V = 25.78 Å³ per atom
Final energy = -5.913 eV per atom
Energy relative to the elements, uncorrected = -0.232 eV/atom

Geometry as POSCAR:
```
ZrTiTe2
1.0
1.7692 1.0215 9.5096
-1.7692 1.0215 9.5096
0.0000 -2.0429 9.5096
Zr Ti Te
1 1 2
Cartesian
0.0000 0.0000 0.0000
0.0000 0.0000 14.2644
0.0000 0.0000 2.9112
0.0000 0.0000 25.6176
```

***

[2]
Entry from the Alexandria database: Tl5Te6 after structural relaxation (PBE-GGA).

Values from the calculation:
V = 36.53 Å³ per atom
Final energy = -2.913 eV per atom
Energy relative to the elements, uncorrected = -0.124 eV/atom

Geometry as POSCAR:
```
Tl5Te6
1.0
4.2422 -5.2239 0.0000
4.2422 5.2239 0.0000
-0.8534 0.0000 9.0665
Tl Te
5 6
Cartesian
0.0000 0.0000 0.0000
3.8155 3.3653 4.5332
4.2422 1.9141 0.0000
4.2422 -1.9141 0.0000
3.8155 -3.3653 4.5332
2.1284 1.3971 2.4538
1.3196 0.0000 7.2226
2.1284 -1.3971 2.4538
5.5025 1.3971 6.6127
6.3114 0.0000 1.8439
5.5025 -1.3971 6.6127
```

***

[3]
Entry from the Alexandria database: TlTe after structural relaxation (PBE-GGA).

Values from the calculation:
V = 37.90 Å³ per atom
Final energy = -2.964 eV per atom
Energy relative to the elements, uncorrected = -0.210 eV/atom

Geometry as POSCAR:
```
TlTe
1.0
6.1337 0.0000 0.0000
0.0000 9.8789 0.0000
0.0000 0.0000 10.0072
Tl Te
8 8
Cartesian
0.4064 1.4070 0.4300
1.2536 6.3872 9.4637
1.8133 3.4917 4.4601
2.6605 8.4719 5.4337
3.4733 3.5325 9.5772
4.3204 8.4312 0.5435
4.8801 1.4477 5.5472
5.7273 6.3464 4.5736
0.0274 3.8167 7.5662
1.2223 8.5221 2.3598
1.8446 1.3568 7.3635
3.0395 6.0622 2.5626
3.0942 1.1227 2.4411
4.2892 6.2962 7.6474
4.9114 3.5827 2.6438
6.1063 8.7562 7.4447
```

***

[4]
Entry from the Alexandria database: TlTe after structural relaxation (PBE-GGA).

Values from the calculation:
V = 34.38 Å³ per atom
Final energy = -2.910 eV per atom
Energy relative to the elements, uncorrected = -0.156 eV/atom

Geometry as POSCAR:
```
TlTe
1.0
3.7211 -3.2295 0.0000
3.7211 3.2295 0.0000
-1.3007 0.0000 2.8610
Tl Te
1 1
Cartesian
0.0000 0.0000 0.0000
3.0707 0.0000 1.4305
```

***

[5]
Entry from the Alexandria database: TlTe after structural relaxation (PBE-GGA).

Values from the calculation:
V = 57.32 Å³ per atom
Final energy = -2.757 eV per atom
Energy relative to the elements, uncorrected = -0.003 eV/atom

Geometry as POSCAR:
```
TlTe
1.0
8.8271 0.0000 0.0000
0.0000 8.8271 0.0000
0.0000 0.0000 8.8271
Tl Te
6 6
Cartesian
0.0000 2.2068 4.4136
0.0000 6.6203 4.4136
2.2068 4.4136 0.0000
4.4136 0.0000 2.2068
4.4136 0.0000 6.6203
6.6203 4.4136 0.0000
0.0000 4.4136 2.2068
0.0000 4.4136 6.6203
2.2068 0.0000 4.4136
4.4136 2.2068 0.0000
4.4136 6.6203 0.0000
6.6203 0.0000 4.4136
```

***

[6]
Entry from the Alexandria database: TlTe5 after structural relaxation (PBE-GGA).

Values from the calculation:
V = 36.04 Å³ per atom
Final energy = -2.969 eV per atom
Energy relative to the elements, uncorrected = 0.044 eV/atom

Geometry as POSCAR:
```
TlTe5
1.0
4.8241 -2.1459 0.0000
4.8241 2.1459 0.0000
-1.0475 0.0000 10.4440
Tl Te
1 5
Cartesian
0.0000 0.0000 0.0000
1.8102 0.0000 8.9511
3.0862 0.0000 3.2569
5.4766 0.0000 7.0324
5.9556 0.0000 2.3492
8.8955 0.0000 5.5710
```

***

[7]
Entry from the Alexandria database: TlTe after structural relaxation (PBE-GGA).

Values from the calculation:
V = 34.28 Å³ per atom
Final energy = -2.873 eV per atom
Energy relative to the elements, uncorrected = -0.119 eV/atom

Geometry as POSCAR:
```
TlTe
1.0
2.1888 -6.9037 0.0000
2.1888 6.9037 0.0000
0.0000 0.0000 4.5377
Tl Te
2 2
Cartesian
2.1888 4.7406 3.4032
2.1888 -4.7406 1.1344
2.1888 1.5755 3.4032
2.1888 -1.5755 1.1344
```

***

[8]
Entry from the Alexandria database: TlTe after structural relaxation (PBE-GGA).

Values from the calculation:
V = 35.39 Å³ per atom
Final energy = -2.912 eV per atom
Energy relative to the elements, uncorrected = -0.159 eV/atom

Geometry as POSCAR:
```
TlTe
1.0
0.0000 6.5180 6.6874
3.2474 0.0000 6.6874
3.2474 6.5180 0.0000
Tl Te
4 4
Cartesian
2.4355 4.8885 1.1156
4.0592 8.1475 4.4593
2.4355 4.8885 8.9154
4.0592 8.1475 12.2591
3.9794 4.8885 5.0155
5.6031 8.1475 8.3592
0.8917 4.8885 5.0155
2.5153 8.1475 8.3592
```

***

[9]
Entry from the Alexandria database: Tl5Te3 after structural relaxation (PBE-GGA).

Values from the calculation:
V = 35.14 Å³ per atom
Final energy = -2.800 eV per atom
Energy relative to the elements, uncorrected = -0.143 eV/atom

Geometry as POSCAR:
```
Tl5Te3
1.0
-4.5965 4.5965 6.6522
4.5965 -4.5965 6.6522
4.5965 4.5965 -6.6522
Tl Te
10 6
Cartesian
5.5534 1.6658 -1.7876
1.8465 3.3401 -1.8802
0.0000 0.0000 3.2092
5.8528 1.8465 1.8802
2.7500 1.2564 4.7720
1.6658 3.6395 1.7876
-0.9570 2.9307 4.8646
2.9307 0.9570 8.4398
0.0000 0.0000 10.0952
-1.2564 2.7500 8.5324
0.0000 0.0000 0.0000
2.8970 0.9830 0.2938
3.6135 -1.6994 6.3584
0.0000 0.0000 6.6522
0.9830 6.2959 -0.2938
1.6994 3.6135 6.9460
```

***

[10]
Entry from the Alexandria database: TlTe after structural relaxation (PBE-GGA).

Values from the calculation:
V = 31.53 Å³ per atom
Final energy = -2.769 eV per atom
Energy relative to the elements, uncorrected = -0.015 eV/atom

Geometry as POSCAR:
```
TlTe
1.0
3.5489 0.0000 0.0000
-1.7745 3.0734 0.0000
0.0000 0.0000 5.7806
Tl Te
1 1
Cartesian
0.0000 0.0000 0.0000
0.0000 2.0490 2.8903
```

***

[11]
Entry from the Alexandria database: TlTe5 after structural relaxation (PBE-GGA).

Values from the calculation:
V = 30.08 Å³ per atom
Final energy = -2.845 eV per atom
Energy relative to the elements, uncorrected = 0.167 eV/atom

Geometry as POSCAR:
```
TlTe5
1.0
2.7189 -8.5846 0.0000
2.7189 8.5846 0.0000
0.0000 0.0000 3.8661
Tl Te
1 5
Cartesian
0.0000 0.0000 0.0000
2.7189 5.6014 1.9330
2.7189 2.5217 0.0000
2.7189 0.0000 1.9330
2.7189 -2.5217 0.0000
2.7189 -5.6014 1.9330
```

***

[12]
Entry from the Alexandria database: TlTe5 after structural relaxation (PBE-GGA).

Values from the calculation:
V = 36.79 Å³ per atom
Final energy = -3.028 eV per atom
Energy relative to the elements, uncorrected = -0.015 eV/atom

Geometry as POSCAR:
```
TlTe5
1.0
4.4335 0.0000 0.0000
0.0000 3.1046 8.0176
0.0000 -3.1046 8.0176
Tl Te
1 5
Cartesian
0.0000 0.0000 0.0000
0.0000 0.0000 5.7681
0.0000 0.0000 10.2575
2.2168 0.0000 3.8160
2.2168 0.0000 8.0125
2.2168 0.0000 12.2089
```

***

[13]
Entry from the Alexandria database: TlTe after structural relaxation (PBE-GGA).

Values from the calculation:
V = 36.16 Å³ per atom
Final energy = -2.884 eV per atom
Energy relative to the elements, uncorrected = -0.130 eV/atom

Geometry as POSCAR:
```
TlTe
1.0
6.6456 -1.9231 0.0000
6.6456 1.9231 0.0000
-0.4888 0.0000 8.4883
Tl Te
3 3
Cartesian
0.0000 0.0000 0.0000
7.9257 0.0000 5.8093
9.9247 0.0000 2.7497
0.5638 0.0000 3.2024
3.4691 0.0000 8.1876
4.5099 0.0000 5.6354
```

***

[14]
Entry from the Alexandria database: Tl4Te after structural relaxation (PBE-GGA).

Values from the calculation:
V = 34.77 Å³ per atom
Final energy = -2.531 eV per atom
Energy relative to the elements, uncorrected = -0.010 eV/atom

Geometry as POSCAR:
```
Tl4Te
1.0
-2.2002 2.2002 8.9791
2.2002 -2.2002 8.9791
2.2002 2.2002 -8.9791
Tl Te
4 1
Cartesian
0.0000 0.0000 1.5881
2.2002 0.0000 4.4895
0.0000 2.2002 4.4895
0.0000 0.0000 16.3701
0.0000 0.0000 8.9791
```

***

[15]
Entry from the Alexandria database: TlTe after structural relaxation (PBE-GGA).

Values from the calculation:
V = 35.20 Å³ per atom
Final energy = -2.709 eV per atom
Energy relative to the elements, uncorrected = 0.045 eV/atom

Geometry as POSCAR:
```
TlTe
1.0
3.6186 0.0000 0.0000
-1.8093 3.1338 0.0000
0.0000 0.0000 12.4156
Tl Te
2 2
Cartesian
0.0000 2.0892 1.8126
1.8093 1.0446 10.6029
0.0000 2.0892 8.1529
1.8093 1.0446 4.2626
```

***

[16]
Entry from the Alexandria database: Tl4Te after structural relaxation (PBE-GGA).

Values from the calculation:
V = 35.77 Å³ per atom
Final energy = -2.585 eV per atom
Energy relative to the elements, uncorrected = -0.063 eV/atom

Geometry as POSCAR:
```
Tl4Te
1.0
0.0000 6.4448 4.6051
6.0254 0.0000 4.6051
6.0254 6.4448 0.0000
Tl Te
8 2
Cartesian
5.8597 4.7794 1.1949
3.1784 1.5571 3.4974
0.1657 1.6653 1.1949
6.1305 4.7590 4.6051
2.8470 4.8877 3.4974
8.9331 7.9814 6.9077
5.9204 8.1305 4.6051
9.1432 11.3529 6.9077
3.0127 3.2224 0.5801
6.0254 6.4448 7.4878
```

***

[17]
Entry from the Alexandria database: TlTe after structural relaxation (PBE-GGA).

Values from the calculation:
V = 37.92 Å³ per atom
Final energy = -2.960 eV per atom
Energy relative to the elements, uncorrected = -0.206 eV/atom

Geometry as POSCAR:
```
TlTe
1.0
5.1043 0.0000 0.0000
-1.3549 5.4798 0.0000
-0.6804 -2.7540 5.4226
Tl Te
2 2
Cartesian
0.1880 1.5528 1.0509
2.8810 1.1730 4.3717
0.4349 3.3343 3.9425
2.6341 -0.6085 1.4802
```

***

[18]
Entry from the Alexandria database: Tl2Te3 after structural relaxation (PBE-GGA).

Values from the calculation:
V = 36.07 Å³ per atom
Final energy = -2.988 eV per atom
Energy relative to the elements, uncorrected = -0.156 eV/atom

Geometry as POSCAR:
```
Tl2Te3
1.0
5.3439 0.0000 0.0000
2.4828 8.2053 0.0000
2.5004 0.1944 8.2256
Tl Te
4 6
Cartesian
0.0000 0.0000 0.0000
2.4731 3.0514 5.1069
5.0568 5.4259 5.3942
5.0701 8.2499 2.3499
3.6833 4.0797 1.1021
5.1770 2.3580 7.4099
7.5721 6.1408 7.5664
5.0792 2.3329 2.9749
8.1787 8.2650 5.2074
7.6821 6.2007 3.2196
```

***

[19]
Entry from the Alexandria database: TlTe after structural relaxation (PBE-GGA).

Values from the calculation:
V = 32.16 Å³ per atom
Final energy = -2.801 eV per atom
Energy relative to the elements, uncorrected = -0.047 eV/atom

Geometry as POSCAR:
```
TlTe
1.0
-2.3617 2.3617 5.7665
2.3617 -2.3617 5.7665
2.3617 2.3617 -5.7665
Tl Te
2 2
Cartesian
2.3617 1.1809 1.4416
0.0000 1.1809 4.3249
2.3617 -1.1809 4.3249
0.0000 3.5426 1.4416
```

***

[20]
Entry from the Alexandria database: TlTe after structural relaxation (PBE-GGA).

Values from the calculation:
V = 32.95 Å³ per atom
Final energy = -2.896 eV per atom
Energy relative to the elements, uncorrected = -0.142 eV/atom

Geometry as POSCAR:
```
TlTe
1.0
3.3253 0.0000 0.0000
0.0000 4.3058 0.0000
0.0000 0.0000 4.6022
Tl Te
1 1
Cartesian
0.0000 0.0000 0.0000
1.6626 2.1529 2.3011
```

***

[21]
Entry from the Alexandria database: TlTe5 after structural relaxation (PBE-GGA).

Values from the calculation:
V = 38.20 Å³ per atom
Final energy = -3.024 eV per atom
Energy relative to the elements, uncorrected = -0.011 eV/atom

Geometry as POSCAR:
```
TlTe5
1.0
5.4104 0.0000 0.0000
0.0000 11.3832 0.0000
-1.5470 0.0000 7.4434
Tl Te
2 10
Cartesian
-0.0381 2.8458 2.4257
3.9014 8.5374 5.0177
0.4429 6.4098 2.9692
0.4429 10.6650 2.9692
-0.3153 0.6617 6.7069
-0.3153 5.0299 6.7069
1.5126 2.8458 5.5953
2.3508 8.5374 1.8481
4.1787 6.3533 0.7365
4.1787 10.7215 0.7365
3.4204 0.7182 4.4742
3.4204 4.9734 4.4742
```

***

[22]
Entry from the Alexandria database: TlTe after structural relaxation (PBE-GGA).

Values from the calculation:
V = 40.06 Å³ per atom
Final energy = -2.848 eV per atom
Energy relative to the elements, uncorrected = -0.094 eV/atom

Geometry as POSCAR:
```
TlTe
1.0
5.7384 0.0000 0.0000
-2.8692 4.9696 0.0000
0.0000 0.0000 11.2381
Tl Te
4 4
Cartesian
0.0000 0.0000 2.8095
0.0000 0.0000 8.4286
0.0000 3.3131 2.8095
2.8692 1.6565 8.4286
0.0000 3.3131 7.0287
0.0000 3.3131 9.8284
2.8692 1.6565 1.4096
2.8692 1.6565 4.2094
```

***

[23]
Entry from the Alexandria database: Tl5Te4 after structural relaxation (PBE-GGA).

Values from the calculation:
V = 34.84 Å³ per atom
Final energy = -2.776 eV per atom
Energy relative to the elements, uncorrected = -0.065 eV/atom

Geometry as POSCAR:
```
Tl5Te4
1.0
-5.1557 5.1557 2.9490
5.1557 -5.1557 2.9490
5.1557 5.1557 -2.9490
Tl Te
5 4
Cartesian
0.0000 0.0000 0.0000
3.3146 3.3146 0.0000
1.8411 -1.8411 2.9490
-1.8411 1.8411 2.9490
1.8411 1.8411 2.9490
2.9992 0.0000 0.0000
7.3123 0.0000 0.0000
0.0000 2.9992 0.0000
0.0000 7.3123 0.0000
```

***

[24]
Entry from the Alexandria database: Tl5Te3 after structural relaxation (PBE-GGA).

Values from the calculation:
V = 36.09 Å³ per atom
Final energy = -2.900 eV per atom
Energy relative to the elements, uncorrected = -0.243 eV/atom

Geometry as POSCAR:
```
Tl5Te3
1.0
9.7430 0.0000 0.0000
-4.8715 8.4377 0.0000
0.0000 0.0000 7.0232
Tl Te
10 6
Cartesian
-1.4021 2.4286 1.7558
-3.4694 6.0091 5.2674
2.8043 0.0000 1.7558
1.4021 2.4286 5.2674
0.0000 5.6251 0.0000
0.0000 5.6251 3.5116
4.8715 2.8126 0.0000
4.8715 2.8126 3.5116
6.9387 0.0000 5.2674
3.4694 6.0091 1.7558
-1.8201 3.1526 5.2674
-3.0514 5.2851 1.7558
3.6403 0.0000 5.2674
1.8201 3.1526 1.7558
6.1027 0.0000 1.7558
3.0514 5.2851 5.2674
```